{"formula": "DyLuMgRh", "functional": "PBE", "state": "optimized geometry", "lattice": [[0.000, 3.534, 3.534], [3.534, 0.000, 3.534], [3.534, 3.534, 0.000]], "species": ["Dy", "Lu", "Mg", "Rh"], "frac_coords": [[0.000, 0.000, 0.000], [0.500, 0.500, 0.500], [0.750, 0.750, 0.750], [0.250, 0.250, 0.250]], "magmom_total_mub_per_fu": 0.00, "ef_ev_per_fu": -1.75, "dft_energy_ev_per_atom": -4.9545, "spacegroup": "No. 216", "vol_a3_per_atom": 22.07, "n_ef_per_ev_atom": 0.5129}


{"formula": "BaZr2Sc", "functional": "PBE", "state": "optimized geometry", "lattice": [[-1.698, 2.877, 5.805], [1.698, -2.877, 5.805], [1.698, 2.877, -5.805]], "species": ["Ba", "Zr", "Zr", "Sc"], "frac_coords": [[0.000, 0.000, 0.000], [0.514, 0.514, 0.000], [0.729, 0.229, 0.500], [0.278, 0.778, 0.500]], "magmom_total_mub_per_fu": 0.00, "polymorph_energy_ev_per_atom": 0.236, "ef_ev_per_fu": 2.07, "dft_energy_ev_per_atom": -5.8193, "spacegroup": "No. 44", "vol_a3_per_atom": 28.37, "n_ef_per_ev_atom": 1.6610}


{"formula": "Ca3SnPd3", "functional": "PBE", "state": "optimized geometry", "lattice": [[8.551, 0.000, 0.000], [-4.275, 7.405, 0.000], [0.000, 0.000, 5.070]], "species": ["Ca", "Ca", "Ca", "Ca", "Ca", "Ca", "Sn", "Sn", "Pd", "Pd", "Pd", "Pd", "Pd", "Pd"], "frac_coords": [[0.092, 0.418, 0.250], [0.326, 0.908, 0.250], [0.418, 0.326, 0.750], [0.582, 0.674, 0.250], [0.674, 0.092, 0.750], [0.908, 0.582, 0.750], [0.333, 0.667, 0.750], [0.667, 0.333, 0.250], [0.052, 0.212, 0.750], [0.160, 0.948, 0.750], [0.212, 0.160, 0.250], [0.788, 0.840, 0.750], [0.840, 0.052, 0.250], [0.948, 0.788, 0.250]], "magmom_total_mub_per_fu": 0.00, "polymorph_energy_ev_per_atom": 0.151, "ef_ev_per_fu": -4.00, "dft_energy_ev_per_atom": -4.2259, "spacegroup": "No. 176", "vol_a3_per_atom": 22.93, "n_ef_per_ev_atom": 0.3433}


{"formula": "Ac6Ir3Cl", "functional": "PBE", "state": "optimized geometry", "lattice": [[10.197, 0.000, 0.000], [0.000, 4.336, 0.000], [-4.211, 0.000, 16.503]], "species": ["Ac", "Ac", "Ac", "Ac", "Ac", "Ac", "Ac", "Ac", "Ac", "Ac", "Ac", "Ac", "Ir", "Ir", "Ir", "Ir", "Ir", "Ir", "Cl", "Cl"], "frac_coords": [[0.032, 0.250, 0.382], [0.068, 0.750, 0.865], [0.296, 0.750, 0.296], [0.307, 0.250, 0.760], [0.367, 0.750, 0.542], [0.391, 0.750, 0.054], [0.609, 0.250, 0.946], [0.633, 0.250, 0.458], [0.693, 0.750, 0.240], [0.704, 0.250, 0.704], [0.932, 0.250, 0.135], [0.968, 0.750, 0.618], [0.009, 0.250, 0.742], [0.332, 0.250, 0.418], [0.393, 0.750, 0.882], [0.607, 0.250, 0.118], [0.668, 0.750, 0.582], [0.991, 0.750, 0.258], [0.147, 0.250, 0.028], [0.853, 0.750, 0.972]], "magmom_total_mub_per_fu": 0.00, "dft_energy_ev_per_atom": -6.1071, "e_form_raw_ev_per_atom": -0.799, "spacegroup": "No. 11", "vol_a3_per_atom": 36.48, "n_ef_per_ev_atom": 0.5363}


{"formula": "SmTm2Pt", "functional": "PBE", "state": "optimized geometry", "lattice": [[1.957, 1.130, 8.931], [-1.957, 1.130, 8.931], [0.000, -2.259, 8.931]], "species": ["Sm", "Tm", "Tm", "Pt"], "frac_coords": [[0.000, 0.000, 0.000], [0.229, 0.229, 0.229], [0.443, 0.443, 0.443], [0.836, 0.836, 0.836]], "magmom_total_mub_per_fu": 0.00, "polymorph_energy_ev_per_atom": 0.159, "ef_ev_per_fu": -2.24, "dft_energy_ev_per_atom": -5.4850, "spacegroup": "No. 160", "vol_a3_per_atom": 29.61, "n_ef_per_ev_atom": 0.9406}


{"formula": "Hf3CoIr", "functional": "PBE", "state": "optimized geometry", "lattice": [[4.471, -2.798, 0.000], [4.471, 2.798, 0.000], [-3.870, 0.000, 7.349]], "species": ["Hf", "Hf", "Hf", "Hf", "Hf", "Hf", "Co", "Co", "Ir", "Ir"], "frac_coords": [[0.015, 0.015, 0.244], [0.292, 0.292, 0.670], [0.305, 0.305, 0.131], [0.695, 0.695, 0.869], [0.708, 0.708, 0.330], [0.985, 0.985, 0.756], [0.274, 0.726, 0.000], [0.726, 0.274, 0.000], [0.272, 0.728, 0.500], [0.728, 0.272, 0.500]], "magmom_total_mub_per_fu": 0.00, "polymorph_energy_ev_per_atom": 0.000, "ef_ev_per_fu": -2.54, "dft_energy_ev_per_atom": -9.6739, "spacegroup": "No. 12", "vol_a3_per_atom": 18.39, "n_ef_per_ev_atom": 0.7307}


{"formula": "MgHg2Pb8", "functional": "PBE", "state": "optimized geometry", "lattice": [[7.181, -4.220, 0.000], [7.181, 4.220, 0.000], [-1.641, 0.000, 5.994]], "species": ["Mg", "Hg", "Hg", "Pb", "Pb", "Pb", "Pb", "Pb", "Pb", "Pb", "Pb"], "frac_coords": [[0.000, 0.000, 0.000], [0.108, 0.108, 0.619], [0.892, 0.892, 0.381], [0.179, 0.579, 0.073], [0.217, 0.217, 0.264], [0.418, 0.418, 0.642], [0.421, 0.821, 0.927], [0.579, 0.179, 0.073], [0.582, 0.582, 0.358], [0.783, 0.783, 0.736], [0.821, 0.421, 0.927]], "magmom_total_mub_per_fu": 0.00, "ef_ev_per_fu": 1.28, "dft_energy_ev_per_atom": -2.7802, "spacegroup": "No. 12", "vol_a3_per_atom": 33.03, "n_ef_per_ev_atom": 0.5329}


{"formula": "Rb2CeBr3F3", "functional": "PBE", "state": "optimized geometry", "lattice": [[8.704, 0.000, 0.000], [-4.352, 7.538, 0.000], [0.000, 0.000, 3.734]], "species": ["Rb", "Rb", "Ce", "Br", "Br", "Br", "F", "F", "F"], "frac_coords": [[0.333, 0.667, 0.000], [0.667, 0.333, 0.000], [0.000, 0.000, 0.500], [0.000, 0.648, 0.500], [0.352, 0.352, 0.500], [0.648, 0.000, 0.500], [0.000, 0.170, 0.000], [0.170, 0.000, 0.000], [0.830, 0.830, 0.000]], "magmom_total_mub_per_fu": 0.16, "dft_energy_ev_per_atom": -4.5053, "e_form_raw_ev_per_atom": -2.450, "spacegroup": "No. 189", "vol_a3_per_atom": 27.22, "n_ef_per_ev_atom": 0.4462}


{"formula": "LaTbTm4", "functional": "PBE", "state": "optimized geometry", "lattice": [[4.408, -7.326, 0.000], [4.408, 7.326, 0.000], [-2.073, 0.000, 6.053]], "species": ["La", "La", "Tb", "Tb", "Tm", "Tm", "Tm", "Tm", "Tm", "Tm", "Tm", "Tm"], "frac_coords": [[0.082, 0.918, 0.750], [0.918, 0.082, 0.250], [0.498, 0.502, 0.250], [0.502, 0.498, 0.750], [0.072, 0.343, 0.882], [0.212, 0.601, 0.468], [0.343, 0.072, 0.382], [0.399, 0.788, 0.032], [0.601, 0.212, 0.968], [0.657, 0.928, 0.618], [0.788, 0.399, 0.532], [0.928, 0.657, 0.118]], "magmom_total_mub_per_fu": 0.00, "polymorph_energy_ev_per_atom": 0.000, "ef_ev_per_fu": 0.86, "dft_energy_ev_per_atom": -4.4311, "spacegroup": "No. 15", "vol_a3_per_atom": 32.58, "n_ef_per_ev_atom": 1.7332}


{"formula": "Cd2HPd", "functional": "PBE", "state": "optimized geometry", "lattice": [[0.000, 3.220, 3.220], [3.220, 0.000, 3.220], [3.220, 3.220, 0.000]], "species": ["Cd", "Cd", "H", "Pd"], "frac_coords": [[0.250, 0.250, 0.250], [0.750, 0.750, 0.750], [0.000, 0.000, 0.000], [0.500, 0.500, 0.500]], "magmom_total_mub_per_fu": 0.00, "polymorph_energy_ev_per_atom": 0.187, "dft_energy_ev_per_atom": -2.2845, "spacegroup": "No. 225", "vol_a3_per_atom": 16.69, "n_ef_per_ev_atom": 0.4136}


{"formula": "K2Ac2HfTe6", "functional": "PBE", "state": "optimized geometry", "lattice": [[4.043, -6.859, 0.000], [4.043, 6.859, 0.000], [-2.791, 0.000, 8.356]], "species": ["K", "K", "Ac", "Ac", "Hf", "Te", "Te", "Te", "Te", "Te", "Te"], "frac_coords": [[0.175, 0.825, 0.000], [0.825, 0.175, 0.000], [0.333, 0.667, 0.500], [0.667, 0.333, 0.500], [0.000, 0.000, 0.500], [0.075, 0.373, 0.711], [0.221, 0.221, 0.292], [0.373, 0.075, 0.711], [0.627, 0.925, 0.289], [0.779, 0.779, 0.708], [0.925, 0.627, 0.289]], "magmom_total_mub_per_fu": 0.00, "dft_energy_ev_per_atom": -4.8228, "e_form_raw_ev_per_atom": -1.258, "spacegroup": "No. 12", "vol_a3_per_atom": 42.13, "n_ef_per_ev_atom": 0.0000}


{"formula": "InAgAsBr2", "functional": "PBE", "state": "optimized geometry", "lattice": [[5.579, 0.000, 0.000], [0.000, 5.579, 0.000], [0.000, 0.000, 5.075]], "species": ["In", "Ag", "As", "Br", "Br"], "frac_coords": [[0.000, 0.000, 0.000], [0.500, 0.500, 0.500], [0.500, 0.500, 0.000], [0.000, 0.500, 0.500], [0.500, 0.000, 0.500]], "magmom_total_mub_per_fu": 1.97, "polymorph_energy_ev_per_atom": 0.000, "dft_energy_ev_per_atom": -2.6085, "e_form_raw_ev_per_atom": 0.108, "spacegroup": "No. 123", "vol_a3_per_atom": 31.58, "n_ef_per_ev_atom": 0.5405}


{"formula": "BaTa", "functional": "PBE", "state": "optimized geometry", "lattice": [[3.238, 0.000, 0.000], [-1.619, 2.804, 0.000], [0.000, 0.000, 6.007]], "species": ["Ba", "Ta"], "frac_coords": [[0.000, 0.000, 0.000], [0.667, 0.333, 0.500]], "magmom_total_mub_per_fu": 0.00, "polymorph_energy_ev_per_atom": 0.868, "ef_ev_per_fu": 2.77, "dft_energy_ev_per_atom": -5.5008, "spacegroup": "No. 187", "vol_a3_per_atom": 27.27, "n_ef_per_ev_atom": 1.9492}


{"formula": "NaNbZn", "functional": "PBE", "state": "optimized geometry", "lattice": [[2.996, 0.000, 0.000], [0.000, 3.709, 0.000], [-0.017, 0.000, 11.624]], "species": ["Na", "Na", "Nb", "Nb", "Zn", "Zn"], "frac_coords": [[0.245, 0.250, 0.130], [0.755, 0.750, 0.870], [0.249, 0.250, 0.429], [0.751, 0.750, 0.571], [0.252, 0.250, 0.695], [0.748, 0.750, 0.305]], "magmom_total_mub_per_fu": 0.00, "polymorph_energy_ev_per_atom": 0.024, "ef_ev_per_fu": 0.37, "dft_energy_ev_per_atom": -4.0973, "spacegroup": "No. 11", "vol_a3_per_atom": 21.53, "n_ef_per_ev_atom": 0.4728}


{"formula": "Pr2NdTeO8", "functional": "PBE", "state": "optimized geometry", "lattice": [[4.329, 0.000, 0.000], [0.000, 7.332, 0.000], [-0.428, 0.000, 5.494]], "species": ["Pr", "Pr", "Nd", "Te", "O", "O", "O", "O", "O", "O", "O", "O"], "frac_coords": [[0.000, 0.249, 0.000], [0.000, 0.751, 0.000], [0.500, 0.500, 0.500], [0.500, 0.000, 0.500], [0.032, 0.500, 0.252], [0.092, 0.000, 0.324], [0.438, 0.202, 0.733], [0.438, 0.798, 0.733], [0.562, 0.202, 0.267], [0.562, 0.798, 0.267], [0.908, 0.000, 0.676], [0.968, 0.500, 0.748]], "magmom_total_mub_per_fu": 1.00, "dft_energy_ev_per_atom": -7.1120, "e_form_raw_ev_per_atom": -2.351, "spacegroup": "No. 10", "vol_a3_per_atom": 14.53, "n_ef_per_ev_atom": 0.0936}


{"formula": "TbTmZrIn", "functional": "PBE", "state": "optimized geometry", "lattice": [[0.000, 3.761, 3.761], [3.761, 0.000, 3.761], [3.761, 3.761, 0.000]], "species": ["Tb", "Tm", "Zr", "In"], "frac_coords": [[0.000, 0.000, 0.000], [0.500, 0.500, 0.500], [0.750, 0.750, 0.750], [0.250, 0.250, 0.250]], "magmom_total_mub_per_fu": 2.63, "ef_ev_per_fu": -0.28, "dft_energy_ev_per_atom": -5.1672, "spacegroup": "No. 216", "vol_a3_per_atom": 26.59, "n_ef_per_ev_atom": 0.7494}


{"formula": "Tb2Nd3Dy2", "functional": "PBE", "state": "optimized geometry", "lattice": [[5.981, -1.804, 0.000], [5.981, 1.804, 0.000], [-1.113, 0.000, 10.768]], "species": ["Tb", "Tb", "Nd", "Nd", "Nd", "Dy", "Dy"], "frac_coords": [[0.215, 0.215, 0.358], [0.785, 0.785, 0.642], [0.358, 0.358, 0.928], [0.500, 0.500, 0.500], [0.642, 0.642, 0.072], [0.073, 0.073, 0.784], [0.927, 0.927, 0.216]], "magmom_total_mub_per_fu": 0.00, "polymorph_energy_ev_per_atom": 0.000, "ef_ev_per_fu": 0.11, "dft_energy_ev_per_atom": -4.6653, "spacegroup": "No. 12", "vol_a3_per_atom": 33.19, "n_ef_per_ev_atom": 1.2765}


{"formula": "Cu2Sb2Pd", "functional": "PBE", "state": "optimized geometry", "lattice": [[7.251, 0.000, 0.000], [0.000, 7.251, 0.000], [0.000, 0.000, 3.653]], "species": ["Cu", "Cu", "Cu", "Cu", "Sb", "Sb", "Sb", "Sb", "Pd", "Pd"], "frac_coords": [[0.123, 0.377, 0.000], [0.377, 0.877, 0.000], [0.623, 0.123, 0.000], [0.877, 0.623, 0.000], [0.173, 0.673, 0.500], [0.327, 0.173, 0.500], [0.673, 0.827, 0.500], [0.827, 0.327, 0.500], [0.000, 0.000, 0.500], [0.500, 0.500, 0.500]], "magmom_total_mub_per_fu": 0.00, "polymorph_energy_ev_per_atom": 0.082, "dft_energy_ev_per_atom": -4.2300, "e_form_raw_ev_per_atom": 0.096, "spacegroup": "No. 127", "vol_a3_per_atom": 19.21, "n_ef_per_ev_atom": 0.4085}


{"formula": "CdSe2BrO", "functional": "PBE", "state": "optimized geometry", "lattice": [[4.163, 0.000, 0.000], [0.000, 4.163, 0.000], [0.000, 0.000, 6.504]], "species": ["Cd", "Se", "Se", "Br", "O"], "frac_coords": [[0.000, 0.000, 0.000], [0.000, 0.500, 0.500], [0.500, 0.000, 0.500], [0.500, 0.500, 0.000], [0.500, 0.500, 0.500]], "magmom_total_mub_per_fu": 0.11, "polymorph_energy_ev_per_atom": 0.000, "dft_energy_ev_per_atom": -2.7836, "e_form_raw_ev_per_atom": 0.119, "spacegroup": "No. 123", "vol_a3_per_atom": 22.54, "n_ef_per_ev_atom": 0.8300}


{"formula": "VRuPtPb2", "functional": "PBE", "state": "optimized geometry", "lattice": [[5.092, 0.000, 0.000], [0.000, 5.092, 0.000], [0.000, 0.000, 4.958]], "species": ["V", "Ru", "Pt", "Pb", "Pb"], "frac_coords": [[0.000, 0.000, 0.000], [0.500, 0.500, 0.500], [0.500, 0.500, 0.000], [0.000, 0.500, 0.500], [0.500, 0.000, 0.500]], "magmom_total_mub_per_fu": 0.35, "ef_ev_per_fu": 6.25, "dft_energy_ev_per_atom": -5.1194, "spacegroup": "No. 123", "vol_a3_per_atom": 25.71, "n_ef_per_ev_atom": 1.5637}


{"formula": "LiNd2GaPd6", "functional": "PBE", "state": "optimized geometry", "lattice": [[5.565, 0.000, 0.000], [2.776, 5.854, 0.000], [2.772, 0.700, 5.832]], "species": ["Li", "Nd", "Nd", "Ga", "Pd", "Pd", "Pd", "Pd", "Pd", "Pd"], "frac_coords": [[0.000, 0.000, 0.000], [0.500, 0.248, 0.752], [0.500, 0.752, 0.248], [0.000, 0.500, 0.500], [0.007, 0.692, 0.797], [0.173, 0.072, 0.581], [0.495, 0.307, 0.205], [0.505, 0.693, 0.795], [0.827, 0.928, 0.419], [0.993, 0.308, 0.203]], "magmom_total_mub_per_fu": 0.00, "ef_ev_per_fu": -6.16, "dft_energy_ev_per_atom": -5.1796, "spacegroup": "No. 2", "vol_a3_per_atom": 19.00, "n_ef_per_ev_atom": 0.3538}


{"formula": "Pr6Nd4Er", "functional": "PBE", "state": "optimized geometry", "lattice": [[-3.383, 3.383, 8.743], [3.383, -3.383, 8.743], [3.383, 3.383, -8.743]], "species": ["Pr", "Pr", "Pr", "Pr", "Pr", "Pr", "Nd", "Nd", "Nd", "Nd", "Er"], "frac_coords": [[0.000, 0.500, 0.500], [0.195, 0.195, 0.645], [0.450, 0.805, 0.000], [0.500, 0.000, 0.500], [0.550, 0.550, 0.355], [0.805, 0.450, 0.000], [0.012, 0.635, 0.000], [0.365, 0.365, 0.377], [0.635, 0.012, 0.000], [0.988, 0.988, 0.623], [0.000, 0.000, 0.000]], "magmom_total_mub_per_fu": 0.00, "ef_ev_per_fu": 2.97, "dft_energy_ev_per_atom": -4.4856, "spacegroup": "No. 121", "vol_a3_per_atom": 36.39, "n_ef_per_ev_atom": 1.6494}


{"formula": "K2Pm2PaSe6", "functional": "PBE", "state": "optimized geometry", "lattice": [[3.699, -6.370, 0.000], [3.699, 6.370, 0.000], [-2.497, 0.000, 7.847]], "species": ["K", "K", "Pm", "Pm", "Pa", "Se", "Se", "Se", "Se", "Se", "Se"], "frac_coords": [[0.169, 0.831, 0.000], [0.831, 0.169, 0.000], [0.334, 0.666, 0.500], [0.666, 0.334, 0.500], [0.000, 0.000, 0.500], [0.068, 0.393, 0.704], [0.253, 0.253, 0.297], [0.393, 0.068, 0.704], [0.607, 0.932, 0.296], [0.747, 0.747, 0.703], [0.932, 0.607, 0.296]], "magmom_total_mub_per_fu": 1.08, "dft_energy_ev_per_atom": -5.4836, "e_form_raw_ev_per_atom": -1.656, "spacegroup": "No. 12", "vol_a3_per_atom": 33.61, "n_ef_per_ev_atom": 0.1933}


{"formula": "NaSiB3", "functional": "PBE", "state": "optimized geometry", "lattice": [[4.350, 0.000, 0.000], [0.000, 4.350, 0.000], [0.000, 0.000, 4.350]], "species": ["Na", "Si", "B", "B", "B"], "frac_coords": [[0.000, 0.000, 0.000], [0.500, 0.500, 0.500], [0.000, 0.000, 0.500], [0.000, 0.500, 0.000], [0.500, 0.000, 0.000]], "magmom_total_mub_per_fu": 0.00, "polymorph_energy_ev_per_atom": 1.551, "dft_energy_ev_per_atom": -2.4396, "e_form_raw_ev_per_atom": 2.915, "spacegroup": "No. 221", "vol_a3_per_atom": 16.46, "n_ef_per_ev_atom": 0.6132}